Record 1
VASP calculation (PBE) on an optimized crystal structure of CuTeSe2N.

## Properties
Polymorph energy (0 for the lowest one): 0.0 meV per atom
Size of the total moment: 0.287 μB per atom

abc: 5.0671 5.0671 3.6943
angles: 90.00 90.00 90.00
Space group P4/mmm (No. 123)
Unique sites:
1 Cu 0.0000 0.0000 0.0000
2 Te 0.5000 0.5000 0.5000
3 Se 0.0000 0.5000 0.0000
4 N 0.0000 0.0000 0.5000

---

Record 2
VASP calculation (PBE) on an optimized crystal structure of Ti6VGa3.

## Properties
Polymorph energy (0 for the lowest one): 0.0 meV per atom
Size of the total moment: 0.000 μB per atom
Energy relative to the elements: -0.301 eV/atom

abc: 7.6536 4.5783 9.6657
angles: 90.00 109.31 90.00
Space group P2_1/m (No. 11)
Unique sites:
1 Ti 0.0421 0.2500 0.4130
2 Ti 0.1543 0.7500 0.1808
3 Ti 0.2648 0.2500 0.0112
4 Ti 0.3535 0.2500 0.3149
5 Ti 0.3528 0.7500 0.7981
6 Ti 0.4184 0.2500 0.6144
7 V 0.4497 0.7500 0.1022
8 Ga 0.0461 0.7500 0.8874
9 Ga 0.1408 0.2500 0.7163
10 Ga 0.2725 0.7500 0.4762

---

Record 3
VASP calculation (PBE) on an optimized crystal structure of AcOs.

## Properties
Size of the total moment: 0.429 μB per atom
Energy relative to the elements: 0.002 eV/atom

abc: 4.3571 4.3571 23.5281
angles: 90.00 90.00 120.00
Space group R-3m (No. 166, hexagonal axes)
Unique sites:
1 Ac 0.0000 0.0000 0.0883
2 Os 0.0000 0.0000 0.3336

---

Record 4
VASP calculation (PBE) on an optimized crystal structure of KCaRe.

## Properties
Polymorph energy (0 for the lowest one): 0.1 meV per atom
Size of the total moment: 0.001 μB per atom
Energy relative to the elements: 1.124 eV/atom

abc: 3.8088 4.5507 17.9470
angles: 90.00 90.00 90.00
Space group Fmm2 (No. 42)
Unique sites:
1 K 0.0000 0.0000 0.0000
2 Ca 0.0000 0.0000 0.2820
3 Re 0.0000 0.0000 0.6565

---

Record 5
VASP calculation (PBE) on an optimized crystal structure of Cd2PbW.

## Properties
Size of the total moment: 0.000 μB per atom
Energy relative to the elements: 0.635 eV/atom

abc: 2.9032 4.9319 13.9848
angles: 90.00 90.00 90.00
Space group Imm2 (No. 44)
Unique sites:
1 Cd 0.0000 0.0000 0.0000
2 Cd 0.0000 0.5000 0.1569
3 Pb 0.0000 0.5000 0.7932
4 W 0.0000 0.0000 0.4759

---

Record 6
VASP calculation (PBE) on an optimized crystal structure of Pu2TeP.

## Properties
Polymorph energy (0 for the lowest one): 0.0 meV per atom
Size of the total moment: 2.730 μB per atom

abc: 4.1910 4.1910 21.0698
angles: 90.00 90.00 120.00
Space group R-3m (No. 166, hexagonal axes)
Unique sites:
1 Pu 0.0000 0.0000 0.2382
2 Te 0.0000 0.0000 0.0000
3 P 0.0000 0.0000 0.5000

---

Record 7
VASP calculation (PBE) on an optimized crystal structure of TbTm2Sc6.

## Properties
Size of the total moment: 0.000 μB per atom
Energy relative to the elements: 0.071 eV/atom

abc: 3.3871 3.3871 24.2591
angles: 90.00 90.00 120.00
Space group P-6m2 (No. 187)
Unique sites:
1 Tb 0.0000 0.0000 0.0000
2 Tm 0.3333 0.6667 0.3280
3 Sc 0.0000 0.0000 0.2172
4 Sc 0.0000 0.0000 0.4380
5 Sc 0.3333 0.6667 0.1135

---

Record 8
VASP calculation (PBE) on an optimized crystal structure of NaGa2ReSe.

## Properties
Size of the total moment: 0.831 μB per atom
Raw total energy: -3.189 eV/atom

abc: 5.1612 5.1612 4.8663
angles: 90.00 90.00 90.00
Space group P4/mmm (No. 123)
Unique sites:
1 Na 0.0000 0.0000 0.0000
2 Ga 0.0000 0.5000 0.0000
3 Re 0.5000 0.5000 0.5000
4 Se 0.0000 0.0000 0.5000

---

Record 9
VASP calculation (PBE) on an optimized crystal structure of TlGa3I.

## Properties
Polymorph energy (0 for the lowest one): 0.0 meV per atom
Size of the total moment: 0.000 μB per atom

abc: 5.5564 5.5564 5.5564
angles: 90.00 90.00 90.00
Space group Pm-3m (No. 221)
Unique sites:
1 Tl 0.0000 0.0000 0.0000
2 Ga 0.0000 0.0000 0.5000
3 I 0.5000 0.5000 0.5000

---

Record 10
VASP calculation (PBE) on an optimized crystal structure of NaSm2Sc3Te6.

## Properties
Size of the total moment: 0.000 μB per atom
Raw total energy: -5.281 eV/atom

abc: 18.8763 4.2662 8.7069
angles: 90.00 104.25 90.00
Space group C2/m (No. 12)
Unique sites:
1 Na 0.0000 0.0000 0.0000
2 Sm 0.1697 0.5000 0.3399
3 Sc 0.0000 0.0000 0.5000
4 Sc 0.1671 0.5000 0.8240
5 Te 0.0037 0.5000 0.7394
6 Te 0.1603 0.0000 0.5935
7 Te 0.1707 0.0000 0.0694

---

Record 11
VASP calculation (PBE) on an optimized crystal structure of CaAlCd2.

## Properties
Size of the total moment: 0.000 μB per atom
Energy relative to the elements: 0.040 eV/atom

abc: 3.5247 3.5247 28.5225
angles: 90.00 90.00 120.00
Space group R3m (No. 160, hexagonal axes)
Unique sites:
1 Ca 0.0000 0.0000 0.0000
2 Al 0.0000 0.0000 0.2453
3 Cd 0.0000 0.0000 0.5050
4 Cd 0.0000 0.0000 0.7572

---

Record 12
VASP calculation (PBE) on an optimized crystal structure of InHgSb2.

## Properties
Polymorph energy (0 for the lowest one): 94.8 meV per atom
Size of the total moment: 0.000 μB per atom

abc: 3.3816 3.3816 32.9533
angles: 90.00 90.00 120.00
Space group R3m (No. 160, hexagonal axes)
Unique sites:
1 In 0.0000 0.0000 0.0000
2 Hg 0.0000 0.0000 0.7477
3 Sb 0.0000 0.0000 0.2463
4 Sb 0.0000 0.0000 0.4987

---

Record 13
VASP calculation (PBE) on an optimized crystal structure of TaTlSbO6.

## Properties
Size of the total moment: 0.119 μB per atom
Raw total energy: -7.048 eV/atom

abc: 7.3738 7.4928 10.5309
angles: 90.00 90.00 90.00
Space group Imma (No. 74)
Unique sites:
1 Ta 0.0000 0.0000 0.0000
2 Tl 0.0000 0.2500 0.3923
3 Sb 0.2500 0.2500 0.7500
4 O 0.0000 0.2500 0.0609
5 O 0.0000 0.2500 0.6739
6 O 0.1931 0.0586 0.8748

---

Record 14
VASP calculation (PBE) on an optimized crystal structure of HoCdAsO5.

## Properties
Size of the total moment: 0.000 μB per atom
Raw total energy: -6.344 eV/atom

abc: 8.1048 9.0533 8.0670
angles: 90.00 117.83 90.00
Space group C2/c (No. 15)
Unique sites:
1 Ho 0.0000 0.0000 0.0000
2 Cd 0.0000 0.3182 0.2500
3 As 0.0000 0.3495 0.7500
4 O 0.0000 0.0908 0.2500
5 O 0.0330 0.2434 0.5923
6 O 0.1799 0.4758 0.8634

---

Record 15
VASP calculation (PBE) on an optimized crystal structure of NdSm2S3.

## Properties
Polymorph energy (0 for the lowest one): 0.0 meV per atom
Size of the total moment: 0.000 μB per atom

abc: 4.0362 5.6945 12.0735
angles: 90.00 90.00 90.00
Space group Immm (No. 71)
Unique sites:
1 Nd 0.0000 0.0000 0.0000
2 Sm 0.0000 0.0000 0.3349
3 S 0.0000 0.5000 0.0000
4 S 0.0000 0.5000 0.3301

---

Record 16
VASP calculation (PBE) on an optimized crystal structure of Dy4SiSeS2.

## Properties
Size of the total moment: 0.000 μB per atom
Raw total energy: -6.120 eV/atom

abc: 6.9119 4.0095 7.0063
angles: 90.00 109.48 90.00
Space group P2/m (No. 10)
Unique sites:
1 Dy 0.2426 0.0000 0.2351
2 Dy 0.2497 0.5000 0.7579
3 Si 0.5000 0.0000 0.0000
4 Se 0.5000 0.5000 0.5000
5 S 0.0000 0.0000 0.5000
6 S 0.0000 0.5000 0.0000

---

Record 17
VASP calculation (PBE) on an optimized crystal structure of RbInCuF6.

## Properties
Size of the total moment: 0.112 μB per atom
Raw total energy: -4.381 eV/atom

abc: 7.3705 7.8568 10.8971
angles: 90.00 90.00 90.00
Space group Imma (No. 74)
Unique sites:
1 Rb 0.0000 0.2500 0.0757
2 In 0.0000 0.0000 0.5000
3 Cu 0.2500 0.2500 0.7500
4 F 0.0000 0.2500 0.4208
5 F 0.0000 0.2500 0.8019
6 F 0.2139 0.0602 0.6182